[1]
## PmTm4MgS8 (PBE)

Data for a relaxed structure of PmTm4MgS8.

Cell: 7.9550 7.9550 7.9550 Å, 59.66 59.66 59.66°
Last column: nearest neighbours and their distance in Å.
Element x y z (fractional)
Pm  0.0000  0.0000  0.0000  6 S 2.80-2.82
Tm  0.0005  0.0005  0.4897  6 S 2.70-2.74
Tm  0.0005  0.4897  0.0005  6 S 2.70-2.74
Tm  0.4897  0.0005  0.0005  6 S 2.70-2.74
Tm  0.6235  0.6235  0.6235  4 S 2.57-2.60
Mg  0.3733  0.3733  0.3733  4 S 2.50-2.54
S  0.2269  0.7490  0.7490  3 Tm 2.57-2.73, 1 Pm 2.82
S  0.2433  0.2433  0.2433  1 Mg 2.54, 3 Tm 2.72
S  0.2491  0.2491  0.7592  1 Mg 2.50, 2 Tm 2.70
S  0.2491  0.7592  0.2491  1 Mg 2.50, 2 Tm 2.70
S  0.7490  0.2269  0.7490  3 Tm 2.57-2.73, 1 Pm 2.82
S  0.7490  0.7490  0.2269  3 Tm 2.57-2.73, 1 Pm 2.82
S  0.7565  0.7565  0.7565  4 Tm 2.60-2.74
S  0.7592  0.2491  0.2491  1 Mg 2.50, 2 Tm 2.70

Computed properties:
Uncorrected energy, eV/atom: -5.99
Formation energy (no corrections), meV/atom: -1905

=====

[2]
## Zr2TaCdH (PBE)

Data for a relaxed structure of Zr2TaCdH.

Cell: 4.5294 4.5294 4.1527 Å, 90.00 90.00 90.00°
Last column: nearest neighbours and their distance in Å.
Element x y z (fractional)
Zr  0.0000  0.5000  0.0000  2 H 2.26
Zr  0.5000  0.0000  0.0000  2 H 2.26
Ta  0.0000  0.0000  0.5000  2 H 2.08
Cd  0.5000  0.5000  0.5000  8 Zr 3.07, 4 Ta 3.20
H  0.0000  0.0000  0.0000  2 Ta 2.08, 4 Zr 2.26

Computed properties:
Uncorrected energy, eV/atom: -6.73

=====

[3]
## NaBRh (PBE)

Data for a relaxed structure of NaBRh.

Cell: 3.9661 3.9661 5.8541 Å, 90.00 90.00 90.00°
Last column: nearest neighbours and their distance in Å.
Element x y z (fractional)
Na  0.2500  0.2500  0.1201  6 B 2.88-3.17, 4 Rh 2.98, 4 Na 3.14
Na  0.7500  0.7500  0.8799  6 B 2.88-3.17, 4 Rh 2.98, 4 Na 3.14
B  0.2500  0.2500  0.6282  4 Rh 2.12
B  0.7500  0.7500  0.3718  4 Rh 2.12
Rh  0.2500  0.7500  0.5000  4 B 2.12
Rh  0.7500  0.2500  0.5000  4 B 2.12

Computed properties:
ΔH_f (0 K), eV/f.u.: -0.6
Uncorrected energy, eV/atom: -5.32

=====

[4]
## CaTaH2 (PBE)

Data for a relaxed structure of CaTaH2.

Cell: 4.2020 4.2020 4.2020 Å, 60.00 60.00 60.00°
Last column: nearest neighbours and their distance in Å.
Element x y z (fractional)
Ca  0.0000  0.0000  0.0000  8 H 2.57
Ta  0.5000  0.5000  0.5000  8 H 2.57
H  0.2500  0.2500  0.2500  4 Ta 2.57, 4 Ca 2.57
H  0.7500  0.7500  0.7500  4 Ta 2.57, 4 Ca 2.57

Computed properties:
Uncorrected energy, eV/atom: -4.19

=====

[5]
## Dy5Te4Ir (PBE)

Data for a relaxed structure of Dy5Te4Ir.

Cell: 15.9470 15.9470 15.9470 Å, 164.71 164.71 21.69°
Last column: nearest neighbours and their distance in Å.
Element x y z (fractional)
Dy  0.0000  0.0000  0.0000  4 Ir 3.00, 2 Te 3.31
Dy  0.2108  0.2108  0.0000  6 Te 3.07-3.29
Dy  0.4165  0.4165  0.0000  1 Ir 2.62
Dy  0.5835  0.5835  0.0000  1 Ir 2.62
Dy  0.7892  0.7892  0.0000  6 Te 3.07-3.29
Te  0.1058  0.1058  0.0000  6 Dy 3.08-3.31
Te  0.3097  0.3097  0.0000  6 Dy 3.07-3.35
Te  0.6903  0.6903  0.0000  6 Dy 3.07-3.35
Te  0.8942  0.8942  0.0000  6 Dy 3.08-3.31
Ir  0.5000  0.5000  0.0000  2 Dy 2.62

Computed properties:
Uncorrected energy, eV/atom: -5.64
Formation energy (no corrections), meV/atom: -1194

=====

[6]
## Mg4ZrPt5 (PBE)

Data for a relaxed structure of Mg4ZrPt5.

Cell: 3.1854 3.1854 16.3192 Å, 90.00 90.00 90.00°
Last column: nearest neighbours and their distance in Å.
Element x y z (fractional)
Mg  0.0000  0.0000  0.0956  8 Pt 2.74
Mg  0.0000  0.0000  0.2883  8 Pt 2.75-2.80
Mg  0.0000  0.0000  0.7117  8 Pt 2.75-2.80
Mg  0.0000  0.0000  0.9044  8 Pt 2.74
Zr  0.0000  0.0000  0.5000  8 Pt 2.88, 4 Zr 3.19
Pt  0.5000  0.5000  0.0000  8 Mg 2.74
Pt  0.5000  0.5000  0.1917  8 Mg 2.74-2.75
Pt  0.5000  0.5000  0.3903  4 Mg 2.80, 4 Zr 2.88
Pt  0.5000  0.5000  0.6097  4 Mg 2.80, 4 Zr 2.88
Pt  0.5000  0.5000  0.8083  8 Mg 2.74-2.75

Computed properties:
ΔH_f (0 K), eV/f.u.: -8.8
Uncorrected energy, eV/atom: -5.40